Entry 1:
Crystalline MnCoHOs at its relaxed geometry. Source: the Alexandria database, functional PBE.

a = 4.5390 Å, b = 4.5390 Å, c = 4.5390 Å
α = 146.13°, β = 132.75°, γ = 59.40°
With the nearest neighbours (Å) after each atom.
Element x y z (fractional)
Mn: 0.0000 0.0000 0.0000  2 H 1.80
Co: 0.3269 0.3269 0.0000  2 H 1.82
H: 0.8453 0.3453 0.5000  2 Mn 1.80, 2 Co 1.82
Os: 0.6504 0.6504 0.0000  2 H 2.03

## Properties
The space group is Imm2 (44). Its density is 13.36 g cm⁻³. The polymorph energy (0 for the lowest one) comes out at 0.0859 eV per atom. As for the final energy: -7.606 eV/atom.


Entry 2:
Crystalline MnCoHOs at its relaxed geometry. Source: the Alexandria database, functional PBE.

a = 5.8800 Å, b = 5.8800 Å, c = 5.8800 Å
α = 154.21°, β = 154.21°, γ = 36.80°
With the nearest neighbours (Å) after each atom.
Element x y z (fractional)
Mn: 0.0000 0.0000 0.0000  1 H 1.84
Co: 0.3331 0.3331 0.0000  4 H 1.86
H: 0.8354 0.8354 0.0000  1 Mn 1.84, 4 Co 1.86, 1 Os 2.02
Os: 0.6540 0.6540 0.0000  1 H 2.02

## Properties
The space group is I4mm (107). Its density is 13.18 g cm⁻³. The polymorph energy (0 for the lowest one) comes out at 0.0802 eV per atom. As for the final energy: -7.612 eV/atom.


Entry 3:
Crystalline MnCoHOs at its relaxed geometry. Source: the Alexandria database, functional PBE.

a = 6.4486 Å, b = 6.4486 Å, c = 6.4486 Å
α = 23.71°, β = 23.71°, γ = 23.71°
With the nearest neighbours (Å) after each atom.
Element x y z (fractional)
Mn: 0.0000 0.0000 0.0000  3 H 1.87
Co: 0.5566 0.5566 0.5566  3 H 1.83
H: 0.2764 0.2764 0.2764  3 Co 1.83, 3 Mn 1.87
Os: 0.7746 0.7746 0.7746  3 Mn 2.54, 6 Os 2.65, 3 Co 2.65

## Properties
The space group is R3m (160). Its density is 13.30 g cm⁻³. The polymorph energy (0 for the lowest one) comes out at 0.0000 eV per atom. As for the final energy: -7.692 eV/atom.


Entry 4:
Crystalline MnCoHOs at its relaxed geometry. Source: the Alexandria database, functional PBE.

a = 2.6208 Å, b = 4.1007 Å, c = 4.1007 Å
α = 59.73°, β = 90.00°, γ = 90.00°
With the nearest neighbours (Å) after each atom.
Element x y z (fractional)
Mn: 0.0000 0.0000 0.0000  2 H 1.83
Co: 0.0000 0.3435 0.3435  2 H 1.76
H: 0.5000 0.1790 0.1790  2 Co 1.76, 2 Mn 1.83
Os: 0.5000 0.6705 0.6705  2 H 2.04

## Properties
The space group is Amm2 (38). Its density is 13.31 g cm⁻³. The polymorph energy (0 for the lowest one) comes out at 0.1091 eV per atom. As for the final energy: -7.583 eV/atom.


Entry 5:
Crystalline Mn2CoHOs at its relaxed geometry. Source: the Alexandria database, functional PBE.

a = 3.6484 Å, b = 3.6484 Å, c = 3.7491 Å
α = 90.00°, β = 90.00°, γ = 90.00°
With the nearest neighbours (Å) after each atom.
Element x y z (fractional)
Mn: 0.0000 0.5000 0.0000  2 H 1.82
Mn: 0.5000 0.0000 0.0000  2 H 1.82
Co: 0.0000 0.0000 0.5000  4 Os 2.58, 8 Mn 2.62
H: 0.5000 0.5000 0.0000  4 Mn 1.82, 2 Os 1.87
Os: 0.5000 0.5000 0.5000  2 H 1.87

## Properties
The space group is P4/mmm (123). Its density is 11.98 g cm⁻³. The polymorph energy (0 for the lowest one) comes out at 0.0822 eV per atom. As for the final energy: -7.888 eV/atom.


Entry 6:
Crystalline PaMnCoH6 at its relaxed geometry. Source: the Alexandria database, functional PBE.

a = 4.2975 Å, b = 4.2975 Å, c = 4.1493 Å
α = 90.00°, β = 90.00°, γ = 120.00°
With the nearest neighbours (Å) after each atom.
Element x y z (fractional)
Pa: 0.0000 0.0000 0.0000  12 H 2.35
Mn: 0.3333 0.6667 0.5000  6 H 1.66
Co: 0.6667 0.3333 0.5000  6 H 1.68
H: 0.0032 0.5016 0.2308  1 Mn 1.66, 1 Co 1.68
H: 0.0032 0.5016 0.7692  1 Mn 1.66, 1 Co 1.68
H: 0.4984 0.5016 0.2308  1 Mn 1.66, 1 Co 1.68
H: 0.4984 0.5016 0.7692  1 Mn 1.66, 1 Co 1.68
H: 0.4984 0.9968 0.2308  1 Mn 1.66, 1 Co 1.68
H: 0.4984 0.9968 0.7692  1 Mn 1.66, 1 Co 1.68

## Properties
The space group is P-6m2 (187). Its density is 8.78 g cm⁻³. As for the final energy: -5.334 eV/atom.


Entry 7:
Crystalline PmMnCo2H8 at its relaxed geometry. Source: the Alexandria database, functional PBE.

a = 5.9265 Å, b = 5.9265 Å, c = 5.9265 Å
α = 44.37°, β = 44.37°, γ = 44.37°
With the nearest neighbours (Å) after each atom.
Element x y z (fractional)
Pm: 0.0000 0.0000 0.0000  6 H 2.30
Mn: 0.5000 0.5000 0.5000  6 H 1.78
Co: 0.1985 0.1985 0.1985  7 H 1.63-1.79
Co: 0.8015 0.8015 0.8015  7 H 1.63-1.79
H: 0.1205 0.4042 0.8356  2 Co 1.63-1.79, 1 Mn 1.78
H: 0.1644 0.8795 0.5958  2 Co 1.63-1.79, 1 Mn 1.78
H: 0.3006 0.3006 0.3006  1 Co 1.63
H: 0.4042 0.8356 0.1205  2 Co 1.63-1.79, 1 Mn 1.78
H: 0.5958 0.1644 0.8795  2 Co 1.63-1.79, 1 Mn 1.78
H: 0.6994 0.6994 0.6994  1 Co 1.63
H: 0.8356 0.1205 0.4042  2 Co 1.63-1.79, 1 Mn 1.78
H: 0.8795 0.5958 0.1644  2 Co 1.63-1.79, 1 Mn 1.78

## Properties
The space group is R-3 (148). Its density is 5.85 g cm⁻³. As for the final energy: -4.751 eV/atom.


Entry 8:
Crystalline PuMnCo2H8 at its relaxed geometry. Source: the Alexandria database, functional PBE.

a = 6.3476 Å, b = 6.3476 Å, c = 6.3476 Å
α = 40.16°, β = 40.16°, γ = 40.16°
With the nearest neighbours (Å) after each atom.
Element x y z (fractional)
Pu: 0.0000 0.0000 0.0000  12 H 2.41-2.54
Mn: 0.5000 0.5000 0.5000  6 H 1.87
Co: 0.1671 0.1671 0.1671  6 H 1.66
Co: 0.8329 0.8329 0.8329  6 H 1.66
H: 0.0744 0.4454 0.8212  2 Co 1.66
H: 0.1788 0.9256 0.5546  2 Co 1.66
H: 0.3521 0.3521 0.3521  6 H 2.32-2.60, 3 Pu 2.54, 1 Mn 2.59
H: 0.4454 0.8212 0.0744  2 Co 1.66
H: 0.5546 0.1788 0.9256  2 Co 1.66
H: 0.6479 0.6479 0.6479  6 H 2.32-2.60, 3 Pu 2.54, 1 Mn 2.59
H: 0.8212 0.0744 0.4454  2 Co 1.66
H: 0.9256 0.5546 0.1788  2 Co 1.66

## Properties
The space group is R-3 (148). Its density is 7.36 g cm⁻³. As for the final energy: -5.453 eV/atom.


Entry 9:
Crystalline MnCo2ReH at its relaxed geometry. Source: the Alexandria database, functional PBE.

a = 3.5803 Å, b = 3.5803 Å, c = 3.7469 Å
α = 90.00°, β = 90.00°, γ = 90.00°
With the nearest neighbours (Å) after each atom.
Element x y z (fractional)
Mn: 0.0000 0.0000 0.0000  2 H 1.87
Co: 0.0000 0.5000 0.5000  2 H 1.79
Co: 0.5000 0.0000 0.5000  2 H 1.79
Re: 0.5000 0.5000 0.0000  4 Mn 2.53, 8 Co 2.59
H: 0.0000 0.0000 0.5000  4 Co 1.79, 2 Mn 1.87

## Properties
The space group is P4/mmm (123). Its density is 12.45 g cm⁻³. The polymorph energy (0 for the lowest one) comes out at 0.0000 eV per atom. As for the final energy: -7.804 eV/atom.


Entry 10:
Crystalline MnCoRe2H at its relaxed geometry. Source: the Alexandria database, functional PBE.

a = 3.8628 Å, b = 3.8628 Å, c = 3.6301 Å
α = 90.00°, β = 90.00°, γ = 90.00°
With the nearest neighbours (Å) after each atom.
Element x y z (fractional)
Mn: 0.0000 0.0000 0.0000  8 Re 2.65, 4 Co 2.73
Co: 0.5000 0.5000 0.0000  2 H 1.82
Re: 0.0000 0.5000 0.5000  2 H 1.93
Re: 0.5000 0.0000 0.5000  2 H 1.93
H: 0.5000 0.5000 0.5000  2 Co 1.82, 4 Re 1.93

## Properties
The space group is P4/mmm (123). Its density is 14.94 g cm⁻³. As for the final energy: -8.779 eV/atom.


Entry 11:
Crystalline MnCo2ReH at its relaxed geometry. Source: the Alexandria database, functional PBE.

a = 3.5919 Å, b = 3.5919 Å, c = 3.8323 Å
α = 90.00°, β = 90.00°, γ = 90.00°
With the nearest neighbours (Å) after each atom.
Element x y z (fractional)
Mn: 0.0000 0.0000 0.0000  4 Re 2.54, 8 Co 2.63
Co: 0.0000 0.5000 0.5000  2 H 1.80
Co: 0.5000 0.0000 0.5000  2 H 1.80
Re: 0.5000 0.5000 0.0000  2 H 1.92
H: 0.5000 0.5000 0.5000  4 Co 1.80, 2 Re 1.92

## Properties
The space group is P4/mmm (123). Its density is 12.09 g cm⁻³. The polymorph energy (0 for the lowest one) comes out at 0.0573 eV per atom. As for the final energy: -7.747 eV/atom.


Entry 12:
Crystalline Mn2CoHRh at its relaxed geometry. Source: the Alexandria database, functional PBE.

a = 3.6793 Å, b = 3.6793 Å, c = 3.6458 Å
α = 90.00°, β = 90.00°, γ = 90.00°
With the nearest neighbours (Å) after each atom.
Element x y z (fractional)
Mn: 0.0000 0.5000 0.0000  2 H 1.84
Mn: 0.5000 0.0000 0.0000  2 H 1.84
Co: 0.0000 0.0000 0.5000  2 H 1.82
H: 0.0000 0.0000 0.0000  2 Co 1.82, 4 Mn 1.84
Rh: 0.5000 0.5000 0.5000  8 Mn 2.59, 4 Co 2.60

## Properties
The space group is P4/mmm (123). Its density is 9.18 g cm⁻³. The polymorph energy (0 for the lowest one) comes out at 0.0000 eV per atom. As for the final energy: -7.220 eV/atom.


Total magnetic moment across the listed records, respectively: 0.264; 0.356; 0.127; 0.396; 0.363; 0.000; 0.358; 0.750; 0.172; 0.083; 0.250; 0.622 μB per atom.
Density of states at the Fermi level across the listed records, respectively: 3.80; 3.22; 2.86; 3.77; 4.21; 3.78; 5.14; 13.13; 4.36; 3.28; 4.60; 5.25 states/eV per cell.